The following is a DFT calculation (PBE with a Hubbard U) of a relaxed Cu3Ni4O12 crystal.

uncorrected energy: -4.704 eV/atom
total moment: 0.45 μB per atom
DOS at the Fermi energy: 21.54 states/eV/cell

Lattice parameters (Å, degrees): 7.2874 7.2874 7.2874 90.00 90.00 90.00
Closest atoms and distances in Å follow each position.
Space group Im-3 (No. 204)
Unique sites:
Cu 0.0000 0.0000 0.5000 [6 per cell]  4 O 1.83
Ni 0.2500 0.2500 0.2500 [8 per cell]  6 O 1.97
O 0.0000 0.1732 0.3187 [24 per cell]  1 Cu 1.83, 2 Ni 1.97